1.
This record from the Alexandria database describes an optimized crystal structure of CdPBr3. The functional is PBE.

Geometry as CIF:
```
data_CdPBr3
_chemical_formula_sum 'Cd1 P1 Br3'
_cell_length_a 5.472
_cell_length_b 5.472
_cell_length_c 5.472
_cell_angle_alpha 90.00
_cell_angle_beta 90.00
_cell_angle_gamma 90.00
_symmetry_space_group_name_H-M 'P m -3 m'
_symmetry_Int_Tables_number 221
_symmetry_space_group_name_Hall '-P 4 2 3'
loop_
_atom_site_label
_atom_site_type_symbol
_atom_site_fract_x
_atom_site_fract_y
_atom_site_fract_z
Cd1 Cd 0.000 0.000 0.000
P1 P 0.500 0.500 0.500
Br1 Br 0.000 0.000 0.500
```

Computed properties:
Fermi-level density of states ... 8.12 states/eV/f.u.
Energy above the most stable polymorph in this dataset ... 28.9 kJ per mole of atoms
Energy relative to the elements, uncorrected ... 0.30 eV per atom

---

2.
This record from the Alexandria database describes an optimized crystal structure of NpTl3Ni2Se6. The functional is PBE.

Geometry as CIF:
```
data_NpTl3Ni2Se6
_chemical_formula_sum 'Np2 Tl6 Ni4 Se12'
_cell_length_a 6.380
_cell_length_b 11.034
_cell_length_c 8.535
_cell_angle_alpha 90.00
_cell_angle_beta 104.47
_cell_angle_gamma 90.00
_symmetry_space_group_name_H-M 'C 1 2/m 1'
_symmetry_Int_Tables_number 12
_symmetry_space_group_name_Hall '-C 2y'
loop_
_atom_site_label
_atom_site_type_symbol
_atom_site_fract_x
_atom_site_fract_y
_atom_site_fract_z
Np1 Np 0.000 0.000 0.000
Tl1 Tl 0.000 0.162 0.500
Tl2 Tl 0.000 0.500 0.500
Ni1 Ni 0.000 0.333 0.000
Se1 Se 0.187 0.500 0.176
Se2 Se 0.246 0.186 0.178
```

Computed properties:
Fermi-level density of states ... 12.87 states/eV/f.u.
Energy relative to the elements, uncorrected ... -0.46 eV per atom

---

Q: Which of these has the lowest energy relative to the elements, uncorrected?
A: NpTl3Ni2Se6